Record 1
An optimized crystal structure of CaSmCd6. Source: the Alexandria database, functional PBE-GGA.

Cell and atoms, written as POSCAR:
```
CaSmCd6
1.0
-0.501 -2.787 4.123
5.832 -2.902 -1.252
0.244 5.478 3.733
Cd Sm Ca
6 1 1
Direct
0.000 0.621 0.942 Cd
0.000 0.581 0.419 Cd
0.500 0.922 0.078 Cd
0.000 0.058 0.379 Cd
0.500 0.881 0.562 Cd
0.500 0.438 0.119 Cd
0.000 0.105 0.895 Sm
0.500 0.394 0.606 Ca
```

symmetry: Amm2, No. 38
ΔH_f (0 K): -283 meV/atom

Record 2
An optimized crystal structure of CaSm3Cd4. Source: the Alexandria database, functional PBE-GGA.

Cell and atoms, written as POSCAR:
```
CaSm3Cd4
1.0
5.377 0.000 0.000
0.000 7.700 0.000
0.000 0.000 10.752
Ca Cd Sm
2 8 6
Direct
0.000 0.500 0.500 Ca
0.000 0.500 0.000 Ca
0.500 0.250 0.500 Cd
0.500 0.750 0.000 Cd
0.000 0.250 0.750 Cd
0.500 0.250 0.000 Cd
0.000 0.750 0.250 Cd
0.000 0.750 0.750 Cd
0.500 0.750 0.500 Cd
0.000 0.250 0.250 Cd
0.500 0.000 0.250 Sm
0.500 0.500 0.750 Sm
0.500 0.500 0.250 Sm
0.000 0.000 0.500 Sm
0.500 0.000 0.750 Sm
0.000 0.000 0.000 Sm
```

symmetry: P4/mmm, No. 123
ΔH_f (0 K): -336 meV/atom

Energy
In order: -14.48, -22.51
Unit: eV/f.u.